NaH3Pd2 | PBE-GGA | optimized geometry

a b c (Å): 4.991 4.991 2.752
angles (deg): 90.00 90.00 120.00
Atoms (fractional coordinates):
Na 0.000 0.000 0.000
H 0.000 0.500 0.000
H 0.500 0.000 0.000
H 0.500 0.500 0.000
Pd 0.333 0.667 0.500
Pd 0.667 0.333 0.500

## Properties
- Energy: -3.801 eV/atom

=====

LiTc2SnC | PBE-GGA | optimized geometry

a b c (Å): 4.099 4.099 4.124
angles (deg): 90.00 90.00 90.00
Atoms (fractional coordinates):
Li 0.000 0.000 0.000
Tc 0.000 0.500 0.500
Tc 0.500 0.000 0.500
Sn 0.500 0.500 0.000
C 0.000 0.000 0.500

## Properties
- E_form: 0.041 eV per atom
- Energy: -7.133 eV/atom

=====

YLuScRh | PBE-GGA | optimized geometry

a b c (Å): 7.130 7.130 7.130
angles (deg): 90.00 90.00 90.00
Atoms (fractional coordinates):
Y 0.000 0.000 0.000
Y 0.000 0.500 0.500
Y 0.500 0.000 0.500
Y 0.500 0.500 0.000
Lu 0.000 0.000 0.500
Lu 0.000 0.500 0.000
Lu 0.500 0.000 0.000
Lu 0.500 0.500 0.500
Sc 0.250 0.250 0.750
Sc 0.250 0.750 0.250
Sc 0.750 0.250 0.250
Sc 0.750 0.750 0.750
Rh 0.250 0.250 0.250
Rh 0.250 0.750 0.750
Rh 0.750 0.250 0.750
Rh 0.750 0.750 0.250

## Properties
- E_form: -0.229 eV per atom
- Energy: -6.396 eV/atom

=====

InPb2Au2 | PBE-GGA | optimized geometry

a b c (Å): 5.434 5.434 9.620
angles (deg): 90.00 90.00 90.00
Atoms (fractional coordinates):
In 0.000 0.000 0.000
In 0.500 0.500 0.500
Pb 0.000 0.500 0.250
Pb 0.000 0.500 0.750
Pb 0.500 0.000 0.250
Pb 0.500 0.000 0.750
Au 0.000 0.000 0.360
Au 0.000 0.000 0.640
Au 0.500 0.500 0.140
Au 0.500 0.500 0.860

## Properties
- Offset from the most stable computed form: 0.156 eV/atom
- E_form: 0.062 eV per atom
- Energy: -3.280 eV/atom

=====

Er4InHgN | PBE-GGA | optimized geometry

a b c (Å): 8.178 8.178 6.749
angles (deg): 90.00 90.00 131.29
Atoms (fractional coordinates):
Er 0.000 0.500 0.000
Er 0.000 0.500 0.500
Er 0.081 0.919 0.750
Er 0.412 0.588 0.750
Er 0.500 0.000 0.000
Er 0.500 0.000 0.500
Er 0.588 0.412 0.250
Er 0.919 0.081 0.250
In 0.383 0.617 0.250
In 0.617 0.383 0.750
Hg 0.118 0.882 0.250
Hg 0.882 0.118 0.750
N 0.251 0.749 0.750
N 0.749 0.251 0.250

## Properties
- Energy: -4.971 eV/atom

=====

LuTiCdPb | PBE-GGA | optimized geometry

a b c (Å): 7.174 7.174 7.174
angles (deg): 90.00 90.00 90.00
Atoms (fractional coordinates):
Lu 0.000 0.000 0.000
Lu 0.000 0.500 0.500
Lu 0.500 0.000 0.500
Lu 0.500 0.500 0.000
Ti 0.000 0.000 0.500
Ti 0.000 0.500 0.000
Ti 0.500 0.000 0.000
Ti 0.500 0.500 0.500
Cd 0.250 0.250 0.750
Cd 0.250 0.750 0.250
Cd 0.750 0.250 0.250
Cd 0.750 0.750 0.750
Pb 0.250 0.250 0.250
Pb 0.250 0.750 0.750
Pb 0.750 0.250 0.750
Pb 0.750 0.750 0.250

## Properties
- E_form: -0.039 eV per atom
- Energy: -4.299 eV/atom

=====

CuAg2Au8 | PBE-GGA | optimized geometry

a b c (Å): 7.794 7.794 6.495
angles (deg): 104.07 104.07 30.51
Atoms (fractional coordinates):
Cu 0.000 0.000 0.000
Ag 0.274 0.274 0.365
Ag 0.726 0.726 0.635
Au 0.090 0.090 0.445
Au 0.179 0.179 0.909
Au 0.366 0.366 0.823
Au 0.456 0.456 0.266
Au 0.544 0.544 0.734
Au 0.634 0.634 0.177
Au 0.821 0.821 0.091
Au 0.910 0.910 0.555

## Properties
- Offset from the most stable computed form: 0.000 eV/atom
- E_form: -0.023 eV per atom
- Energy: -3.298 eV/atom

=====

CrIrPt | PBE-GGA | optimized geometry

a b c (Å): 2.709 3.728 8.354
angles (deg): 90.00 90.00 90.00
Atoms (fractional coordinates):
Cr 0.000 0.000 0.000
Cr 0.500 0.500 0.500
Ir 0.000 0.000 0.642
Ir 0.500 0.500 0.142
Pt 0.000 0.000 0.324
Pt 0.500 0.500 0.824

## Properties
- Offset from the most stable computed form: 0.049 eV/atom
- E_form: -0.160 eV per atom
- Energy: -8.335 eV/atom

=====

PaCuTcSn | PBE-GGA | optimized geometry

a b c (Å): 6.731 6.731 6.731
angles (deg): 90.00 90.00 90.00
Atoms (fractional coordinates):
Pa 0.000 0.000 0.000
Pa 0.000 0.500 0.500
Pa 0.500 0.000 0.500
Pa 0.500 0.500 0.000
Cu 0.250 0.250 0.750
Cu 0.250 0.750 0.250
Cu 0.750 0.250 0.250
Cu 0.750 0.750 0.750
Tc 0.250 0.250 0.250
Tc 0.250 0.750 0.750
Tc 0.750 0.250 0.750
Tc 0.750 0.750 0.250
Sn 0.000 0.000 0.500
Sn 0.000 0.500 0.000
Sn 0.500 0.000 0.000
Sn 0.500 0.500 0.500

## Properties
- E_form: -0.025 eV per atom
- Energy: -7.016 eV/atom

=====

LaMg2Tl | PBE-GGA | optimized geometry

a b c (Å): 3.402 4.885 6.876
angles (deg): 90.00 104.21 90.00
Atoms (fractional coordinates):
La 0.000 0.000 0.000
Mg 0.254 0.000 0.510
Mg 0.662 0.500 0.324
Tl 0.384 0.500 0.767

## Properties
- Offset from the most stable computed form: 0.058 eV/atom
- E_form: -0.168 eV per atom
- Energy: -2.788 eV/atom

=====

SmCu12 | PBE-GGA | optimized geometry

a b c (Å): 6.484 6.484 6.484
angles (deg): 98.11 98.11 135.88
Atoms (fractional coordinates):
Sm 0.000 0.000 0.000
Cu 0.000 0.000 0.500
Cu 0.000 0.356 0.356
Cu 0.000 0.500 0.000
Cu 0.000 0.644 0.644
Cu 0.275 0.500 0.775
Cu 0.356 0.000 0.356
Cu 0.500 0.000 0.000
Cu 0.500 0.275 0.775
Cu 0.500 0.500 0.500
Cu 0.500 0.725 0.225
Cu 0.644 0.000 0.644
Cu 0.725 0.500 0.225

## Properties
- E_form: -0.074 eV per atom
- Energy: -4.218 eV/atom

=====

NdErU2P4 | PBE-GGA | optimized geometry

a b c (Å): 6.889 3.976 7.008
angles (deg): 90.00 109.13 90.00
Atoms (fractional coordinates):
Nd 0.000 0.000 0.000
Er 0.500 0.500 0.000
U 0.000 0.500 0.500
U 0.500 0.000 0.500
P 0.254 0.000 0.743
P 0.260 0.500 0.262
P 0.740 0.500 0.738
P 0.746 0.000 0.257

## Properties
- E_form: -1.263 eV per atom
- Energy: -7.956 eV/atom

=====

TlGa2Sn6 | PBE-GGA | optimized geometry

a b c (Å): 9.407 9.407 3.132
angles (deg): 90.00 90.00 120.00
Atoms (fractional coordinates):
Tl 0.000 0.000 0.000
Ga 0.333 0.667 0.000
Ga 0.667 0.333 0.000
Sn 0.000 0.338 0.500
Sn 0.000 0.662 0.500
Sn 0.338 0.000 0.500
Sn 0.338 0.338 0.500
Sn 0.662 0.000 0.500
Sn 0.662 0.662 0.500

## Properties
- E_form: 0.066 eV per atom
- Energy: -3.538 eV/atom

=====

Pr4Nd3Y4 | PBE-GGA | optimized geometry

a b c (Å): 10.849 6.769 6.769
angles (deg): 50.93 90.00 90.00
Atoms (fractional coordinates):
Pr 0.000 0.000 0.000
Pr 0.210 0.797 0.797
Pr 0.500 0.920 0.920
Pr 0.790 0.797 0.797
Nd 0.000 0.293 0.293
Nd 0.294 0.446 0.446
Nd 0.706 0.446 0.446
Y 0.000 0.594 0.594
Y 0.301 0.142 0.142
Y 0.500 0.649 0.649
Y 0.699 0.142 0.142

## Properties
- Offset from the most stable computed form: 0.019 eV/atom
- E_form: 0.145 eV per atom
- Energy: -5.244 eV/atom

=====

Sm3Er6TmTh2 | PBE-GGA | optimized geometry

a b c (Å): 6.151 6.151 11.709
angles (deg): 95.03 95.03 119.98
Atoms (fractional coordinates):
Sm 0.000 0.000 0.000
Sm 0.334 0.666 0.000
Sm 0.666 0.334 0.000
Er 0.082 0.418 0.254
Er 0.245 0.245 0.746
Er 0.418 0.082 0.254
Er 0.582 0.918 0.746
Er 0.755 0.755 0.254
Er 0.918 0.582 0.746
Tm 0.500 0.500 0.500
Th 0.167 0.833 0.500
Th 0.833 0.167 0.500

## Properties
- E_form: 0.017 eV per atom
- Energy: -5.053 eV/atom

=====

CsZrTlI6 | PBE-GGA | optimized geometry

a b c (Å): 8.519 8.519 15.715
angles (deg): 90.00 90.00 120.00
Atoms (fractional coordinates):
Cs 0.000 0.000 0.000
Cs 0.000 0.000 0.500
Zr 0.333 0.667 0.250
Zr 0.667 0.333 0.750
Tl 0.333 0.667 0.750
Tl 0.667 0.333 0.250
I 0.052 0.398 0.143
I 0.052 0.653 0.357
I 0.347 0.398 0.357
I 0.347 0.948 0.143
I 0.398 0.052 0.643
I 0.398 0.347 0.857
I 0.602 0.653 0.143
I 0.602 0.948 0.357
I 0.653 0.052 0.857
I 0.653 0.602 0.643
I 0.948 0.347 0.643
I 0.948 0.602 0.857

## Properties
- Energy: -3.347 eV/atom

=====

AcYAu2 | PBE-GGA | optimized geometry

a b c (Å): 4.441 4.441 21.017
angles (deg): 90.00 90.00 120.00
Atoms (fractional coordinates):
Ac 0.000 0.000 0.000
Ac 0.333 0.667 0.667
Ac 0.667 0.333 0.333
Y 0.000 0.000 0.500
Y 0.333 0.667 0.167
Y 0.667 0.333 0.833
Au 0.000 0.000 0.239
Au 0.000 0.000 0.761
Au 0.333 0.667 0.428
Au 0.333 0.667 0.906
Au 0.667 0.333 0.094
Au 0.667 0.333 0.572

## Properties
- Offset from the most stable computed form: 0.100 eV/atom
- E_form: -0.729 eV per atom
- Energy: -5.010 eV/atom

=====

Rb4Th3PaS8 | PBE-GGA | optimized geometry

a b c (Å): 9.166 9.166 9.166
angles (deg): 53.14 53.14 53.14
Atoms (fractional coordinates):
Rb 0.000 0.000 0.000
Rb 0.000 0.500 0.500
Rb 0.500 0.000 0.500
Rb 0.500 0.500 0.000
Th 0.000 0.000 0.500
Th 0.000 0.500 0.000
Th 0.500 0.000 0.000
Pa 0.500 0.500 0.500
S 0.235 0.235 0.235
S 0.241 0.730 0.730
S 0.270 0.270 0.759
S 0.270 0.759 0.270
S 0.730 0.241 0.730
S 0.730 0.730 0.241
S 0.759 0.270 0.270
S 0.765 0.765 0.765

## Properties
- Energy: -5.888 eV/atom

=====

LiIrRu | PBE-GGA | optimized geometry

a b c (Å): 4.567 4.598 5.028
angles (deg): 64.04 64.46 61.05
Atoms (fractional coordinates):
Li 0.085 0.252 0.246
Li 0.915 0.748 0.754
Ir 0.247 0.083 0.750
Ir 0.753 0.917 0.250
Ru 0.410 0.583 0.253
Ru 0.590 0.417 0.747

## Properties
- Offset from the most stable computed form: 0.000 eV/atom
- E_form: -0.017 eV per atom
- Energy: -6.701 eV/atom

=====

PmPr2Ga3Rh4 | PBE-GGA | optimized geometry

a b c (Å): 4.325 4.325 11.004
angles (deg): 90.00 90.00 90.00
Atoms (fractional coordinates):
Pm 0.000 0.000 0.000
Pr 0.000 0.500 0.720
Pr 0.500 0.000 0.280
Ga 0.000 0.500 0.386
Ga 0.500 0.000 0.614
Ga 0.500 0.500 0.000
Rh 0.000 0.000 0.500
Rh 0.000 0.500 0.157
Rh 0.500 0.000 0.843
Rh 0.500 0.500 0.500

## Properties
- E_form: -0.739 eV per atom
- Energy: -6.019 eV/atom

=====

YCdAg | PBE-GGA | optimized geometry

a b c (Å): 6.810 6.810 6.810
angles (deg): 90.00 90.00 90.00
Atoms (fractional coordinates):
Y 0.000 0.000 0.000
Y 0.000 0.500 0.500
Y 0.500 0.000 0.500
Y 0.500 0.500 0.000
Cd 0.000 0.000 0.500
Cd 0.000 0.500 0.000
Cd 0.500 0.000 0.000
Cd 0.500 0.500 0.500
Ag 0.250 0.250 0.250
Ag 0.250 0.750 0.750
Ag 0.750 0.250 0.750
Ag 0.750 0.750 0.250

## Properties
- E_form: -0.151 eV per atom
- Energy: -3.561 eV/atom

=====

La5TbPrEr2 | PBE-GGA | optimized geometry

a b c (Å): 11.220 11.220 10.710
angles (deg): 90.00 90.00 151.55
Atoms (fractional coordinates):
La 0.000 0.000 0.000
La 0.000 0.000 0.500
La 0.122 0.878 0.750
La 0.220 0.780 0.441
La 0.221 0.779 0.060
La 0.500 0.500 0.250
La 0.500 0.500 0.750
La 0.779 0.221 0.560
La 0.780 0.220 0.941
La 0.878 0.122 0.250
Tb 0.100 0.900 0.250
Tb 0.900 0.100 0.750
Pr 0.284 0.716 0.750
Pr 0.716 0.284 0.250
Er 0.387 0.613 0.503
Er 0.388 0.612 0.997
Er 0.612 0.388 0.497
Er 0.613 0.387 0.003

## Properties
- E_form: 0.127 eV per atom
- Energy: -4.670 eV/atom

=====

Ca4YCu | PBE-GGA | optimized geometry

a b c (Å): 6.798 6.798 6.798
angles (deg): 60.00 60.00 60.00
Atoms (fractional coordinates):
Ca 0.125 0.125 0.125
Ca 0.125 0.125 0.624
Ca 0.125 0.624 0.125
Ca 0.624 0.125 0.125
Y 0.500 0.500 0.500
Cu 0.750 0.750 0.750

## Properties
- E_form: 0.569 eV per atom
- Energy: -2.526 eV/atom

=====

CeYCuIr | PBE-GGA | optimized geometry

a b c (Å): 6.971 6.971 6.971
angles (deg): 90.00 90.00 90.00
Atoms (fractional coordinates):
Ce 0.000 0.000 0.000
Ce 0.000 0.500 0.500
Ce 0.500 0.000 0.500
Ce 0.500 0.500 0.000
Y 0.000 0.000 0.500
Y 0.000 0.500 0.000
Y 0.500 0.000 0.000
Y 0.500 0.500 0.500
Cu 0.250 0.250 0.750
Cu 0.250 0.750 0.250
Cu 0.750 0.250 0.250
Cu 0.750 0.750 0.750
Ir 0.250 0.250 0.250
Ir 0.250 0.750 0.750
Ir 0.750 0.250 0.750
Ir 0.750 0.750 0.250

## Properties
- E_form: -0.473 eV per atom
- Energy: -6.812 eV/atom